An optimized crystal structure of OsS, computed with GGA-PBE.

The symmetry is Fddd, No. 70. The excess energy over the best structure of this formula in the dataset comes out at 0.90 kcal/mol of atoms. For the magnetic moment, the calculation gives 0.00 Bohr magnetons per cell. The calculated volume is 21.27 Å³/atom. For the uncorrected formation energy, the calculation gives 278 meV/atom.

a = 7.0996 Å, b = 6.6444 Å, c = 5.5482 Å
α = 70.57°, β = 61.96°, γ = 47.47°
Last column: nearest neighbours and their distance in Å.
Atoms (fractional coordinates):
Os 0.0048 0.0048 0.2452  4 S 2.30
Os 0.2452 0.2452 0.0048  4 S 2.30
Os 0.7548 0.7548 0.9952  4 S 2.30
Os 0.9952 0.9952 0.7548  4 S 2.30
S 0.0906 0.6594 0.0906  4 Os 2.30
S 0.3406 0.9094 0.3406  4 Os 2.30
S 0.6594 0.0906 0.6594  4 Os 2.30
S 0.9094 0.3406 0.9094  4 Os 2.30